Entry from the Alexandria database: a relaxed K4Tm3SnO8 crystal (PBE-GGA).

## Properties
raw formation energy	-2.44	eV per atom

a b c (Å): 7.403 7.403 7.403
angles (deg): 55.31 55.31 55.31
Element x y z (fractional)
K: 0.000 0.000 0.000
K: 0.000 0.500 0.500
K: 0.500 0.000 0.500
K: 0.500 0.500 0.000
Tm: 0.000 0.000 0.500
Tm: 0.000 0.500 0.000
Tm: 0.500 0.000 0.000
Sn: 0.500 0.500 0.500
O: 0.223 0.731 0.731
O: 0.227 0.227 0.227
O: 0.269 0.269 0.777
O: 0.269 0.777 0.269
O: 0.731 0.223 0.731
O: 0.731 0.731 0.223
O: 0.773 0.773 0.773
O: 0.777 0.269 0.269

Entry from the Alexandria database: a relaxed NaPI3 crystal (PBE-GGA).

## Properties
raw formation energy	-0.28	eV per atom
E above lowest polymorph	82	meV per atom

a b c (Å): 5.636 5.636 5.636
angles (deg): 90.00 90.00 90.00
Element x y z (fractional)
Na: 0.000 0.000 0.000
P: 0.500 0.500 0.500
I: 0.000 0.500 0.500
I: 0.500 0.000 0.500
I: 0.500 0.500 0.000

Entry from the Alexandria database: a relaxed SrGd4Y crystal (PBE-GGA).

## Properties
ΔE_f	235	meV/atom

a b c (Å): 6.766 6.766 6.766
angles (deg): 60.00 60.00 60.00
Element x y z (fractional)
Sr: 0.000 0.000 0.000
Gd: 0.378 0.378 0.378
Gd: 0.378 0.378 0.866
Gd: 0.378 0.866 0.378
Gd: 0.866 0.378 0.378
Y: 0.750 0.750 0.750

Entry from the Alexandria database: a relaxed InGe2AuN crystal (PBE-GGA).

## Properties
raw formation energy	1.72	eV per atom

a b c (Å): 5.348 5.348 5.238
angles (deg): 90.00 90.00 90.00
Element x y z (fractional)
In: 0.000 0.000 0.000
Ge: 0.000 0.500 0.000
Ge: 0.500 0.000 0.000
Au: 0.000 0.000 0.500
N: 0.500 0.500 0.500

Entry from the Alexandria database: a relaxed NbFeTeIrN crystal (PBE-GGA).

## Properties
raw formation energy	-0.09	eV per atom
E above lowest polymorph	67	meV per atom

a b c (Å): 7.303 7.303 7.303
angles (deg): 156.97 147.58 40.15
Element x y z (fractional)
Nb: 0.000 0.000 0.000
Fe: 0.585 0.585 0.000
Te: 0.807 0.307 0.500
Ir: 0.184 0.184 0.000
N: 0.492 0.992 0.500

Entry from the Alexandria database: a relaxed Pm3AlSi5 crystal (PBE-GGA).

## Properties
raw formation energy	-0.27	eV per atom

a b c (Å): 8.665 8.665 5.802
angles (deg): 90.00 90.00 120.00
Element x y z (fractional)
Pm: 0.000 0.380 0.250
Pm: 0.000 0.620 0.750
Pm: 0.380 0.000 0.250
Pm: 0.380 0.380 0.750
Pm: 0.620 0.000 0.750
Pm: 0.620 0.620 0.250
Al: 0.000 0.000 0.000
Al: 0.000 0.000 0.500
Si: 0.000 0.264 0.750
Si: 0.000 0.736 0.250
Si: 0.264 0.000 0.750
Si: 0.264 0.264 0.250
Si: 0.333 0.667 0.000
Si: 0.333 0.667 0.500
Si: 0.667 0.333 0.000
Si: 0.667 0.333 0.500
Si: 0.736 0.000 0.250
Si: 0.736 0.736 0.750

Entry from the Alexandria database: a relaxed Tc2PW crystal (PBE-GGA).

## Properties
ΔE_f	-167	meV/atom

a b c (Å): 2.922 2.922 6.585
angles (deg): 90.00 90.00 90.00
Element x y z (fractional)
Tc: 0.000 0.000 0.218
Tc: 0.000 0.000 0.782
P: 0.500 0.500 0.000
W: 0.500 0.500 0.500

Entry from the Alexandria database: a relaxed ZrNbSn crystal (PBE-GGA).

## Properties
ΔE_f	-34	meV/atom

a b c (Å): 4.927 4.927 3.000
angles (deg): 90.00 90.00 120.00
Element x y z (fractional)
Zr: 0.000 0.000 0.000
Nb: 0.333 0.667 0.325
Sn: 0.667 0.333 0.607

Entry from the Alexandria database: a relaxed CaSiAs2 crystal (PBE-GGA).

## Properties
raw formation energy	-0.06	eV per atom

a b c (Å): 3.330 3.330 8.090
angles (deg): 90.00 90.00 90.00
Element x y z (fractional)
Ca: 0.000 0.000 0.000
Si: 0.500 0.500 0.281
As: 0.000 0.000 0.400
As: 0.500 0.500 0.755

Entry from the Alexandria database: a relaxed Mn2PdW2 crystal (PBE-GGA).

## Properties
ΔE_f	541	meV/atom
E above lowest polymorph	332	meV per atom

a b c (Å): 5.609 5.609 5.609
angles (deg): 137.93 137.93 61.01
Element x y z (fractional)
Mn: 0.112 0.112 0.000
Mn: 0.888 0.888 0.000
Pd: 0.500 0.500 0.000
W: 0.250 0.750 0.500
W: 0.750 0.250 0.500

Entry from the Alexandria database: a relaxed PmNpTl2Se4 crystal (PBE-GGA).

## Properties
raw formation energy	-1.13	eV per atom

a b c (Å): 7.399 4.263 8.127
angles (deg): 90.00 107.64 90.00
Element x y z (fractional)
Pm: 0.000 0.000 0.000
Np: 0.500 0.500 0.000
Tl: 0.000 0.500 0.500
Tl: 0.500 0.000 0.500
Se: 0.239 0.500 0.209
Se: 0.269 0.000 0.795
Se: 0.731 0.000 0.205
Se: 0.761 0.500 0.791

Entry from the Alexandria database: a relaxed YMgGe crystal (PBE-GGA).

## Properties
ΔE_f	-159	meV/atom

a b c (Å): 4.181 4.334 10.300
angles (deg): 101.75 90.14 118.55
Element x y z (fractional)
Y: 0.062 0.124 0.187
Y: 0.938 0.876 0.813
Mg: 0.190 0.378 0.584
Mg: 0.810 0.622 0.416
Ge: 0.340 0.681 0.014
Ge: 0.660 0.319 0.986

Entry from the Alexandria database: a relaxed CoP2Se crystal (PBE-GGA).

## Properties
raw formation energy	0.04	eV per atom

a b c (Å): 3.724 3.724 5.924
angles (deg): 101.30 101.30 54.22
Element x y z (fractional)
Co: 0.000 0.000 0.000
P: 0.292 0.292 0.861
P: 0.443 0.443 0.575
Se: 0.788 0.788 0.278

Entry from the Alexandria database: a relaxed LiTcPt crystal (PBE-GGA).

## Properties
ΔE_f	397	meV/atom
E above lowest polymorph	637	meV per atom

a b c (Å): 4.128 4.128 4.128
angles (deg): 60.00 60.00 60.00
Element x y z (fractional)
Li: 0.000 0.000 0.000
Tc: 0.250 0.250 0.250
Pt: 0.500 0.500 0.500

Entry from the Alexandria database: a relaxed K2H6I crystal (PBE-GGA).

## Properties
E above lowest polymorph	869	meV per atom

a b c (Å): 5.890 5.890 5.890
angles (deg): 60.00 60.00 60.00
Element x y z (fractional)
K: 0.250 0.250 0.250
K: 0.750 0.750 0.750
H: 0.246 0.246 0.754
H: 0.246 0.754 0.246
H: 0.246 0.754 0.754
H: 0.754 0.246 0.246
H: 0.754 0.246 0.754
H: 0.754 0.754 0.246
I: 0.500 0.500 0.500

Entry from the Alexandria database: a relaxed Dy2CoP4Ir3 crystal (PBE-GGA).

## Properties
ΔE_f	-954	meV/atom

a b c (Å): 4.118 4.118 9.401
angles (deg): 90.00 90.00 90.00
Element x y z (fractional)
Dy: 0.000 0.500 0.247
Dy: 0.500 0.000 0.753
Co: 0.000 0.000 0.500
P: 0.000 0.000 0.000
P: 0.000 0.500 0.631
P: 0.500 0.000 0.369
P: 0.500 0.500 0.000
Ir: 0.000 0.500 0.882
Ir: 0.500 0.000 0.118
Ir: 0.500 0.500 0.500

Entry from the Alexandria database: a relaxed TlGeRu2W crystal (PBE-GGA).

## Properties
ΔE_f	1238	meV/atom

a b c (Å): 4.568 4.568 4.730
angles (deg): 90.00 90.00 90.00
Element x y z (fractional)
Tl: 0.000 0.000 0.000
Ge: 0.500 0.500 0.500
Ru: 0.000 0.500 0.500
Ru: 0.500 0.000 0.500
W: 0.500 0.500 0.000

Entry from the Alexandria database: a relaxed ZrTl2Ni crystal (PBE-GGA).

## Properties
ΔE_f	131	meV/atom

a b c (Å): 6.131 6.131 6.131
angles (deg): 147.56 134.98 56.58
Element x y z (fractional)
Zr: 0.000 0.000 0.000
Tl: 0.406 0.406 0.000
Tl: 0.696 0.196 0.500
Ni: 0.183 0.683 0.500

Entry from the Alexandria database: a relaxed CsRb2Zn2Bi2 crystal (PBE-GGA).

## Properties
ΔE_f	-239	meV/atom

a b c (Å): 7.204 7.204 10.856
angles (deg): 98.82 98.82 38.38
Element x y z (fractional)
Cs: 0.000 0.000 0.000
Rb: 0.318 0.318 0.354
Rb: 0.682 0.682 0.646
Zn: 0.041 0.041 0.397
Zn: 0.959 0.959 0.603
Bi: 0.414 0.414 0.711
Bi: 0.586 0.586 0.289

Entry from the Alexandria database: a relaxed AcScS2O8 crystal (PBE-GGA).

## Properties
raw formation energy	-1.91	eV per atom

a b c (Å): 5.493 5.493 7.085
angles (deg): 90.00 90.00 120.00
Element x y z (fractional)
Ac: 0.000 0.000 0.000
Sc: 0.000 0.000 0.500
S: 0.333 0.667 0.263
S: 0.667 0.333 0.737
O: 0.164 0.328 0.298
O: 0.164 0.836 0.298
O: 0.328 0.164 0.702
O: 0.333 0.667 0.049
O: 0.667 0.333 0.951
O: 0.672 0.836 0.298
O: 0.836 0.164 0.702
O: 0.836 0.672 0.702

Entry from the Alexandria database: a relaxed Y3ZrS crystal (PBE-GGA).

## Properties
raw formation energy	-0.50	eV per atom
E above lowest polymorph	0	meV per atom

a b c (Å): 5.222 5.222 5.222
angles (deg): 90.00 90.00 90.00
Element x y z (fractional)
Y: 0.000 0.000 0.500
Y: 0.000 0.500 0.000
Y: 0.500 0.000 0.000
Zr: 0.500 0.500 0.500
S: 0.000 0.000 0.000

Entry from the Alexandria database: a relaxed TlW crystal (PBE-GGA).

## Properties
ΔE_f	2890	meV/atom
E above lowest polymorph	2266	meV per atom

a b c (Å): 7.743 7.743 7.743
angles (deg): 90.00 90.00 90.00
Element x y z (fractional)
Tl: 0.000 0.250 0.500
Tl: 0.000 0.750 0.500
Tl: 0.250 0.500 0.000
Tl: 0.500 0.000 0.250
Tl: 0.500 0.000 0.750
Tl: 0.750 0.500 0.000
W: 0.000 0.500 0.250
W: 0.000 0.500 0.750
W: 0.250 0.000 0.500
W: 0.500 0.250 0.000
W: 0.500 0.750 0.000
W: 0.750 0.000 0.500

Entry from the Alexandria database: a relaxed ErMo6S8 crystal (PBE-GGA).

## Properties
raw formation energy	-0.90	eV per atom

a b c (Å): 6.484 6.484 6.484
angles (deg): 89.47 89.47 89.47
Element x y z (fractional)
Er: 0.000 0.000 0.000
Mo: 0.222 0.421 0.560
Mo: 0.421 0.560 0.222
Mo: 0.440 0.778 0.579
Mo: 0.560 0.222 0.421
Mo: 0.579 0.440 0.778
Mo: 0.778 0.579 0.440
S: 0.129 0.753 0.366
S: 0.237 0.237 0.237
S: 0.247 0.634 0.871
S: 0.366 0.129 0.753
S: 0.634 0.871 0.247
S: 0.753 0.366 0.129
S: 0.763 0.763 0.763
S: 0.871 0.247 0.634

Entry from the Alexandria database: a relaxed Nd2RhI crystal (PBE-GGA).

## Properties
raw formation energy	-0.94	eV per atom
E above lowest polymorph	0	meV per atom

a b c (Å): 8.509 8.509 8.509
angles (deg): 28.44 28.44 28.44
Element x y z (fractional)
Nd: 0.228 0.228 0.228
Nd: 0.772 0.772 0.772
Rh: 0.500 0.500 0.500
I: 0.000 0.000 0.000

Entry from the Alexandria database: a relaxed PaIn2Sn crystal (PBE-GGA).

## Properties
ΔE_f	227	meV/atom
E above lowest polymorph	438	meV per atom

a b c (Å): 5.333 5.333 5.333
angles (deg): 60.00 60.00 60.00
Element x y z (fractional)
Pa: 0.000 0.000 0.000
In: 0.250 0.250 0.250
In: 0.750 0.750 0.750
Sn: 0.500 0.500 0.500